(1)
Density functional theory data (PBE) for a relaxed SmBiOs crystal.

a b c (Å): 6.7623 6.7623 6.7623
angles (deg): 90.00 90.00 90.00
Sites, in units of the cell vectors:
Sm: 0.0000 0.0000 0.0000
Sm: 0.0000 0.5000 0.5000
Sm: 0.5000 0.0000 0.5000
Sm: 0.5000 0.5000 0.0000
Bi: 0.0000 0.0000 0.5000
Bi: 0.0000 0.5000 0.0000
Bi: 0.5000 0.0000 0.0000
Bi: 0.5000 0.5000 0.5000
Os: 0.2500 0.2500 0.7500
Os: 0.2500 0.7500 0.2500
Os: 0.7500 0.2500 0.2500
Os: 0.7500 0.7500 0.7500

Values from the calculation:
Offset from the most stable computed form (meV/atom): 0
Crystal system: cubic

***

(2)
Density functional theory data (PBE) for a relaxed ScFeNiB crystal.

a b c (Å): 5.7715 5.7715 5.7715
angles (deg): 90.00 90.00 90.00
Sites, in units of the cell vectors:
Sc: 0.0000 0.0000 0.0000
Sc: 0.0000 0.5000 0.5000
Sc: 0.5000 0.0000 0.5000
Sc: 0.5000 0.5000 0.0000
Fe: 0.0000 0.0000 0.5000
Fe: 0.0000 0.5000 0.0000
Fe: 0.5000 0.0000 0.0000
Fe: 0.5000 0.5000 0.5000
Ni: 0.2500 0.2500 0.7500
Ni: 0.2500 0.7500 0.2500
Ni: 0.7500 0.2500 0.2500
Ni: 0.7500 0.7500 0.7500
B: 0.2500 0.2500 0.2500
B: 0.2500 0.7500 0.7500
B: 0.7500 0.2500 0.7500
B: 0.7500 0.7500 0.2500

Values from the calculation:
Offset from the most stable computed form (meV/atom): 19
Crystal system: cubic

***

(3)
Density functional theory data (PBE) for a relaxed RbCu3Te4W crystal.

a b c (Å): 6.6243 6.6243 6.6243
angles (deg): 90.00 90.00 90.00
Sites, in units of the cell vectors:
Rb: 0.0000 0.0000 0.0000
Cu: 0.0000 0.5000 0.5000
Cu: 0.5000 0.0000 0.5000
Cu: 0.5000 0.5000 0.0000
Te: 0.2760 0.2760 0.2760
Te: 0.2760 0.7240 0.7240
Te: 0.7240 0.2760 0.7240
Te: 0.7240 0.7240 0.2760
W: 0.5000 0.5000 0.5000

Values from the calculation:
Energy (eV/atom): -4.081
Crystal system: cubic